(1)
Zn2CBr | GGA-PBEsol | relaxed

## Properties
The raw formation energy comes out at 1.512 eV per atom. Its space group is Fm-3m, No. 225.

a b c (Å): 4.3793 4.3793 4.3793
angles (deg): 60.00 60.00 60.00
Last column: nearest neighbours and their distance in Å.
Fractional positions:
Zn 0.2500 0.2500 0.2500  4 Br 2.68, 4 C 2.68
Zn 0.7500 0.7500 0.7500  4 C 2.68, 4 Br 2.68
C 0.0000 0.0000 0.0000  8 Zn 2.68
Br 0.5000 0.5000 0.5000  8 Zn 2.68

(2)
TaIn2Sb | GGA-PBEsol | relaxed

## Properties
The raw formation energy comes out at 0.272 eV per atom. Its space group is R-3m, No. 166.

a b c (Å): 10.7146 10.7146 10.7146
angles (deg): 16.71 16.71 16.71
Last column: nearest neighbours and their distance in Å.
Fractional positions:
Ta 0.0000 0.0000 0.0000  6 In 2.99, 6 Ta 3.11
In 0.2579 0.2579 0.2579  3 Ta 2.99, 6 In 3.11
In 0.7421 0.7421 0.7421  3 Ta 2.99, 6 In 3.11
Sb 0.5000 0.5000 0.5000  6 Sb 3.11, 6 In 3.41

(3)
Cr2TcSb | GGA-PBEsol | relaxed

## Properties
The raw formation energy comes out at 0.534 eV per atom. Its space group is R-3m, No. 166.

a b c (Å): 8.0794 8.0794 8.0794
angles (deg): 21.09 21.09 21.09
Last column: nearest neighbours and their distance in Å.
Fractional positions:
Cr 0.2422 0.2422 0.2422  3 Tc 2.47, 3 Sb 2.75
Cr 0.7578 0.7578 0.7578  3 Tc 2.47, 3 Sb 2.75
Tc 0.5000 0.5000 0.5000  6 Cr 2.47
Sb 0.0000 0.0000 0.0000  6 Cr 2.75, 6 Sb 2.96

(4)
Li3Al | GGA-PBEsol | relaxed

## Properties
For the energy of formation, the calculation gives -37 meV/atom. Its space group is P-6m2, No. 187.

a b c (Å): 2.8981 2.8981 9.5877
angles (deg): 90.00 90.00 120.00
Last column: nearest neighbours and their distance in Å.
Fractional positions:
Li 0.0000 0.0000 0.0000  12 Li 2.90-3.03
Li 0.3333 0.6667 0.2637  3 Al 2.82, 9 Li 2.90-3.03
Li 0.3333 0.6667 0.7363  3 Al 2.82, 9 Li 2.90-3.03
Al 0.0000 0.0000 0.5000  6 Li 2.82, 6 Al 2.90

(5)
MgSc2P | GGA-PBEsol | relaxed

## Properties
For the energy of formation, the calculation gives -365 meV/atom. Its space group is I-42d, No. 122.

a b c (Å): 6.1216 6.1216 6.1216
angles (deg): 103.84 103.84 121.45
Last column: nearest neighbours and their distance in Å.
Fractional positions:
Mg 0.0000 0.0000 0.0000  2 P 2.99, 8 Sc 3.04-3.30
Mg 0.7500 0.2500 0.5000  2 P 2.99, 8 Sc 3.04-3.30
Sc 0.1749 0.1250 0.5499  2 P 2.53
Sc 0.3750 0.8251 0.9501  2 P 2.53
Sc 0.5751 0.6250 0.4501  2 P 2.53
Sc 0.8750 0.4249 0.0499  2 P 2.53
P 0.2500 0.7500 0.5000  4 Sc 2.53
P 0.5000 0.5000 0.0000  4 Sc 2.53

(6)
ZrPb2Au | GGA-PBEsol | relaxed

## Properties
For the energy of formation, the calculation gives 162 meV/atom. Its space group is Fm-3m, No. 225.

a b c (Å): 5.0554 5.0554 5.0554
angles (deg): 60.00 60.00 60.00
Last column: nearest neighbours and their distance in Å.
Fractional positions:
Zr 0.0000 0.0000 0.0000  8 Pb 3.10
Pb 0.2500 0.2500 0.2500  4 Au 3.10, 4 Zr 3.10
Pb 0.7500 0.7500 0.7500  4 Au 3.10, 4 Zr 3.10
Au 0.5000 0.5000 0.5000  8 Pb 3.10

(7)
Eu3Sb5O12 | GGA-PBEsol | relaxed

## Properties
The raw formation energy comes out at -1.984 eV per atom. Its space group is I-43m, No. 217.

a b c (Å): 9.3706 9.3706 9.3706
angles (deg): 109.47 109.47 109.47
Last column: nearest neighbours and their distance in Å.
Fractional positions:
Eu 0.2500 0.5000 0.7500  4 O 2.31
Eu 0.2500 0.7500 0.5000  4 O 2.31
Eu 0.5000 0.2500 0.7500  4 O 2.31
Eu 0.5000 0.7500 0.2500  4 O 2.31
Eu 0.7500 0.2500 0.5000  4 O 2.31
Eu 0.7500 0.5000 0.2500  4 O 2.31
Sb 0.0000 0.0000 0.5099  3 O 2.02
Sb 0.0000 0.2731 0.2731  4 O 1.98-2.19
Sb 0.0000 0.5099 0.0000  3 O 2.02
Sb 0.0000 0.7269 0.7269  4 O 1.98-2.19
Sb 0.2731 0.0000 0.2731  4 O 1.98-2.19
Sb 0.2731 0.2731 0.0000  4 O 1.98-2.19
Sb 0.4901 0.4901 0.4901  3 O 2.02
Sb 0.5099 0.0000 0.0000  3 O 2.02
Sb 0.7269 0.0000 0.7269  4 O 1.98-2.19
Sb 0.7269 0.7269 0.0000  4 O 1.98-2.19
O 0.0000 0.1994 0.4716  2 Sb 2.02-2.19
O 0.0000 0.4716 0.1994  2 Sb 2.02-2.19
O 0.0000 0.5130 0.7196  1 Sb 1.98
O 0.0000 0.7196 0.5130  1 Sb 1.98
O 0.1994 0.0000 0.4716  2 Sb 2.02-2.19
O 0.1994 0.4716 0.0000  2 Sb 2.02-2.19
O 0.2066 0.4870 0.4870  1 Sb 1.98
O 0.2722 0.8006 0.8006  2 Sb 2.02-2.19
O 0.2804 0.2804 0.7934  1 Sb 1.98
O 0.2804 0.7934 0.2804  1 Sb 1.98
O 0.4716 0.0000 0.1994  2 Sb 2.02-2.19
O 0.4716 0.1994 0.0000  2 Sb 2.02-2.19
O 0.4870 0.2066 0.4870  1 Sb 1.98
O 0.4870 0.4870 0.2066  1 Sb 1.98
O 0.5130 0.0000 0.7196  1 Sb 1.98
O 0.5130 0.7196 0.0000  1 Sb 1.98
O 0.5284 0.5284 0.7278  2 Sb 2.02-2.19
O 0.5284 0.7278 0.5284  2 Sb 2.02-2.19
O 0.7196 0.0000 0.5130  1 Sb 1.98
O 0.7196 0.5130 0.0000  1 Sb 1.98
O 0.7278 0.5284 0.5284  2 Sb 2.02-2.19
O 0.7934 0.2804 0.2804  1 Sb 1.98
O 0.8006 0.2722 0.8006  2 Sb 2.02-2.19
O 0.8006 0.8006 0.2722  2 Sb 2.02-2.19

(8)
TcBF3 | GGA-PBEsol | relaxed

## Properties
The raw formation energy comes out at 0.005 eV per atom. Its space group is Pm-3m, No. 221.

a b c (Å): 3.8387 3.8387 3.8387
angles (deg): 90.00 90.00 90.00
Last column: nearest neighbours and their distance in Å.
Fractional positions:
Tc 0.0000 0.0000 0.0000  12 F 2.71
B 0.5000 0.5000 0.5000  6 F 1.92
F 0.0000 0.5000 0.5000  2 B 1.92
F 0.5000 0.0000 0.5000  2 B 1.92
F 0.5000 0.5000 0.0000  2 B 1.92